# LiSb2Rh

A relaxed LiSb2Rh crystal (PBE, Alexandria via LeMat-Bulk).

Energy relative to the elements, uncorrected (kcal/mol of atoms): -1.28
Space group: R3m (160)
Energy relative to the lowest polymorph listed for this composition (meV/atom): 296

Unit cell a=8.6586 b=8.6586 c=8.6586 alpha=22.80 beta=22.80 gamma=22.80
Closest atoms and distances in Å follow each position.
Fractional coordinates of all 4 atoms:
Li 0.0000 0.0000 0.0000  3 Rh 2.77, 3 Sb 2.93
Sb 0.2475 0.2475 0.2475  3 Li 2.93
Sb 0.4749 0.4749 0.4749  3 Rh 2.57
Rh 0.7433 0.7433 0.7433  3 Sb 2.57, 3 Li 2.77

# SiSbOs4

A relaxed SiSbOs4 crystal (PBE, Alexandria via LeMat-Bulk).

Energy relative to the elements, uncorrected (kcal/mol of atoms): 22.27
Space group: F-43m (216)

Unit cell a=5.2372 b=5.2372 c=5.2372 alpha=60.00 beta=60.00 gamma=60.00
Closest atoms and distances in Å follow each position.
Fractional coordinates of all 6 atoms:
Si 0.0000 0.0000 0.0000  12 Os 3.07, 4 Sb 3.21
Sb 0.2500 0.2500 0.2500  12 Os 3.07, 4 Si 3.21
Os 0.1241 0.6253 0.6253  6 Os 2.61-2.62
Os 0.6253 0.1241 0.6253  6 Os 2.61-2.62
Os 0.6253 0.6253 0.1241  6 Os 2.61-2.62
Os 0.6253 0.6253 0.6253  6 Os 2.61-2.62

# Tb6ScHg3

A relaxed Tb6ScHg3 crystal (PBE, Alexandria via LeMat-Bulk).

Space group: P2_1/m (11)
Uncorrected energy (eV per atom): -3.749

Unit cell a=7.7378 b=5.2328 c=13.7443 alpha=90.00 beta=95.65 gamma=90.00
Closest atoms and distances in Å follow each position.
Fractional coordinates of all 20 atoms:
Tb 0.0303 0.2500 0.3200  3 Hg 3.20-3.30, 3 Tb 3.23-3.49, 2 Sc 3.28
Tb 0.2201 0.7500 0.9056  6 Hg 3.29-3.35, 2 Sc 3.42, 2 Tb 3.49-3.59
Tb 0.2760 0.2500 0.1006  5 Hg 3.18-3.32
Tb 0.3204 0.2500 0.5060  3 Hg 3.19-3.25, 4 Tb 3.23-3.48, 1 Sc 3.48
Tb 0.3386 0.7500 0.2926  3 Hg 3.11-3.16, 2 Tb 3.36
Tb 0.3905 0.7500 0.6716  2 Sc 3.18, 6 Tb 3.27-3.48
Tb 0.6095 0.2500 0.3284  2 Sc 3.18, 6 Tb 3.27-3.48
Tb 0.6614 0.2500 0.7074  3 Hg 3.11-3.16, 2 Tb 3.36
Tb 0.6796 0.7500 0.4940  3 Hg 3.19-3.25, 4 Tb 3.23-3.48, 1 Sc 3.48
Tb 0.7240 0.7500 0.8994  5 Hg 3.18-3.32
Tb 0.7799 0.2500 0.0944  6 Hg 3.29-3.35, 2 Sc 3.42, 2 Tb 3.49-3.59
Tb 0.9697 0.7500 0.6800  3 Hg 3.20-3.30, 3 Tb 3.23-3.49, 2 Sc 3.28
Sc 0.2088 0.2500 0.7453  2 Hg 2.89-2.91, 2 Tb 3.18
Sc 0.7912 0.7500 0.2547  2 Hg 2.89-2.91, 2 Tb 3.18
Hg 0.0464 0.7500 0.1150  1 Sc 2.89, 3 Tb 3.16-3.18
Hg 0.0789 0.7500 0.4537  7 Tb 3.13-3.30, 2 Hg 3.20, 1 Sc 3.35
Hg 0.4889 0.2500 0.9025  1 Sc 2.91, 3 Tb 3.11-3.19
Hg 0.5111 0.7500 0.0975  1 Sc 2.91, 3 Tb 3.11-3.19
Hg 0.9211 0.2500 0.5463  7 Tb 3.13-3.30, 2 Hg 3.20, 1 Sc 3.35
Hg 0.9536 0.2500 0.8850  1 Sc 2.89, 3 Tb 3.16-3.18

# MgRhAu2

A relaxed MgRhAu2 crystal (PBE, Alexandria via LeMat-Bulk).

Space group: Cm (8)
Uncorrected energy (eV per atom): -4.138

Unit cell a=4.9591 b=4.9591 c=4.6968 alpha=103.99 beta=103.99 gamma=37.08
Closest atoms and distances in Å follow each position.
Fractional coordinates of all 4 atoms:
Mg 0.0000 0.0000 0.0000  3 Rh 2.76-2.91, 7 Au 2.79-2.88
Rh 0.2573 0.2573 0.7615  3 Mg 2.76-2.91, 7 Au 2.81-2.88
Au 0.5077 0.5077 0.5142  4 Mg 2.79-2.87, 3 Rh 2.82-2.88, 3 Au 2.86-2.88
Au 0.7514 0.7514 0.2544  4 Rh 2.81-2.85, 3 Mg 2.84-2.88, 3 Au 2.86-2.88

# CaNdTe2O8

A relaxed CaNdTe2O8 crystal (PBE, Alexandria via LeMat-Bulk).

Energy relative to the elements, uncorrected (kcal/mol of atoms): -42.13
Space group: I-4 (82)

Unit cell a=6.9624 b=6.9624 c=6.9624 alpha=134.38 beta=134.38 gamma=66.49
Closest atoms and distances in Å follow each position.
Fractional coordinates of all 12 atoms:
Ca 0.0000 0.0000 0.0000  8 O 2.44-2.54
Nd 0.2500 0.7500 0.5000  8 O 2.47
Te 0.5000 0.5000 0.0000  4 O 1.95
Te 0.7500 0.2500 0.5000  4 O 1.87
O 0.9999 0.0901 0.4219  1 Te 1.87
O 0.2409 0.6667 0.0851  1 Te 1.95
O 0.3333 0.4184 0.5741  1 Te 1.95
O 0.4221 0.0001 0.0903  1 Te 1.87
O 0.5816 0.1558 0.9149  1 Te 1.95
O 0.6682 0.5779 0.5781  1 Te 1.87
O 0.8442 0.7591 0.4259  1 Te 1.95
O 0.9099 0.3318 0.9097  1 Te 1.87

# LaY6Sc

A relaxed LaY6Sc crystal (PBE, Alexandria via LeMat-Bulk).

Space group: P4/mmm (123)
Energy relative to the lowest polymorph listed for this composition (meV/atom): 0

Unit cell a=5.0445 b=5.0445 c=10.0433 alpha=90.00 beta=90.00 gamma=90.00
Closest atoms and distances in Å follow each position.
Fractional coordinates of all 8 atoms:
La 0.0000 0.0000 0.0000  12 Y 3.57-3.63
Y 0.0000 0.5000 0.2594  2 Sc 3.49, 8 Y 3.49-3.63, 2 La 3.63
Y 0.0000 0.5000 0.7406  2 Sc 3.49, 8 Y 3.49-3.63, 2 La 3.63
Y 0.5000 0.0000 0.2594  2 Sc 3.49, 8 Y 3.49-3.63, 2 La 3.63
Y 0.5000 0.0000 0.7406  2 Sc 3.49, 8 Y 3.49-3.63, 2 La 3.63
Y 0.5000 0.5000 0.0000  4 La 3.57, 8 Y 3.63
Y 0.5000 0.5000 0.5000  8 Y 3.49, 4 Sc 3.57
Sc 0.0000 0.0000 0.5000  12 Y 3.49-3.57

# RbLiCoHg2

A relaxed RbLiCoHg2 crystal (PBE, Alexandria via LeMat-Bulk).

Space group: P4/mmm (123)
Uncorrected energy (eV per atom): -0.962

Unit cell a=6.5929 b=6.5929 c=6.7460 alpha=90.00 beta=90.00 gamma=90.00
Closest atoms and distances in Å follow each position.
Fractional coordinates of all 5 atoms:
Rb 0.0000 0.0000 0.0000  4 Hg 3.30, 2 Li 3.37
Li 0.0000 0.0000 0.5000  2 Rb 3.37
Co 0.5000 0.5000 0.5000  4 Li 4.66, 8 Hg 4.72
Hg 0.0000 0.5000 0.0000  2 Rb 3.30
Hg 0.5000 0.0000 0.0000  2 Rb 3.30

# Ta2NbCl6

A relaxed Ta2NbCl6 crystal (PBE, Alexandria via LeMat-Bulk).

Energy relative to the elements, uncorrected (kcal/mol of atoms): -20.15
Space group: C2/c (15)

Unit cell a=10.4693 b=10.4693 c=5.6731 alpha=105.10 beta=105.10 gamma=98.22
Closest atoms and distances in Å follow each position.
Fractional coordinates of all 18 atoms:
Ta 0.1804 0.2357 0.1285  3 Cl 2.30-2.54
Ta 0.2357 0.1804 0.6285  3 Cl 2.30-2.54
Ta 0.7643 0.8196 0.3715  3 Cl 2.30-2.54
Ta 0.8196 0.7643 0.8715  3 Cl 2.30-2.54
Nb 0.0032 0.9968 0.7500  4 Cl 2.51-2.53
Nb 0.9968 0.0032 0.2500  4 Cl 2.51-2.53
Cl 0.0177 0.7988 0.3971  2 Nb 2.51-2.53, 1 Ta 2.66
Cl 0.0474 0.3866 0.2235  1 Ta 2.30
Cl 0.2012 0.9823 0.1029  2 Nb 2.51-2.53, 1 Ta 2.66
Cl 0.2988 0.4010 0.9539  2 Ta 2.43-2.54
Cl 0.3866 0.0474 0.7235  1 Ta 2.30
Cl 0.4010 0.2988 0.4539  2 Ta 2.43-2.54
Cl 0.5990 0.7012 0.5461  2 Ta 2.43-2.54
Cl 0.6134 0.9526 0.2765  1 Ta 2.30
Cl 0.7012 0.5990 0.0461  2 Ta 2.43-2.54
Cl 0.7988 0.0177 0.8971  2 Nb 2.51-2.53, 1 Ta 2.66
Cl 0.9526 0.6134 0.7765  1 Ta 2.30
Cl 0.9823 0.2012 0.6029  2 Nb 2.51-2.53, 1 Ta 2.66

# Pr2PuGe4Pt3

A relaxed Pr2PuGe4Pt3 crystal (PBE, Alexandria via LeMat-Bulk).

Space group: P-4m2 (115)
Uncorrected energy (eV per atom): -6.824

Unit cell a=4.3345 b=4.3345 c=11.4058 alpha=90.00 beta=90.00 gamma=90.00
Closest atoms and distances in Å follow each position.
Fractional coordinates of all 10 atoms:
Pr 0.0000 0.5000 0.2304  8 Ge 3.28-3.41, 4 Pt 3.33
Pr 0.5000 0.0000 0.7696  8 Ge 3.28-3.41, 4 Pt 3.33
Pu 0.0000 0.0000 0.5000  4 Ge 2.89, 4 Pt 3.06
Ge 0.0000 0.0000 0.0000  4 Pt 2.54
Ge 0.0000 0.5000 0.6674  1 Pt 2.48
Ge 0.5000 0.0000 0.3326  1 Pt 2.48
Ge 0.5000 0.5000 0.0000  4 Pt 2.54
Pt 0.0000 0.5000 0.8846  5 Ge 2.48-2.54
Pt 0.5000 0.0000 0.1154  5 Ge 2.48-2.54
Pt 0.5000 0.5000 0.5000  4 Ge 2.89, 4 Pu 3.06

# K5CdHg2

A relaxed K5CdHg2 crystal (PBE, Alexandria via LeMat-Bulk).

Space group: I4/mcm (140)
Uncorrected energy (eV per atom): -1.020

Unit cell a=10.7912 b=10.7912 c=10.7912 alpha=129.48 beta=129.48 gamma=74.24
Closest atoms and distances in Å follow each position.
Fractional coordinates of all 16 atoms:
K 0.0000 0.0000 0.0000  4 Hg 3.69
K 0.0276 0.5276 0.8432  3 Hg 3.67-3.71, 2 Cd 3.87
K 0.1844 0.0276 0.5000  3 Hg 3.67-3.71, 2 Cd 3.87
K 0.3156 0.8156 0.8432  3 Hg 3.67-3.71, 2 Cd 3.87
K 0.4724 0.3156 0.5000  3 Hg 3.67-3.71, 2 Cd 3.87
K 0.5000 0.5000 0.0000  4 Hg 3.69
K 0.5276 0.6844 0.5000  3 Hg 3.67-3.71, 2 Cd 3.87
K 0.6844 0.1844 0.1568  3 Hg 3.67-3.71, 2 Cd 3.87
K 0.8156 0.9724 0.5000  3 Hg 3.67-3.71, 2 Cd 3.87
K 0.9724 0.4724 0.1568  3 Hg 3.67-3.71, 2 Cd 3.87
Cd 0.2500 0.2500 0.0000  10 K 3.87-4.30
Cd 0.7500 0.7500 0.0000  10 K 3.87-4.30
Hg 0.1166 0.3834 0.5000  1 Hg 3.04
Hg 0.3834 0.8834 0.2668  1 Hg 3.04
Hg 0.6166 0.1166 0.7332  1 Hg 3.04
Hg 0.8834 0.6166 0.5000  1 Hg 3.04

# LiTlPdPt

A relaxed LiTlPdPt crystal (PBE, Alexandria via LeMat-Bulk).

Space group: F-43m (216)
Uncorrected energy (eV per atom): -4.199

Unit cell a=4.5554 b=4.5554 c=4.5554 alpha=60.00 beta=60.00 gamma=60.00
Closest atoms and distances in Å follow each position.
Fractional coordinates of all 4 atoms:
Li 0.0000 0.0000 0.0000  4 Pt 2.79, 4 Pd 2.79
Tl 0.5000 0.5000 0.5000  4 Pt 2.79, 4 Pd 2.79
Pd 0.2500 0.2500 0.2500  4 Tl 2.79, 4 Li 2.79
Pt 0.7500 0.7500 0.7500  4 Tl 2.79, 4 Li 2.79

# La3Mg

A relaxed La3Mg crystal (PBE, Alexandria via LeMat-Bulk).

Space group: P6_3/mmc (194)
Uncorrected energy (eV per atom): -3.970

Unit cell a=5.6451 b=5.6451 c=10.1697 alpha=90.00 beta=90.00 gamma=120.00
Closest atoms and distances in Å follow each position.
Fractional coordinates of all 8 atoms:
La 0.0000 0.0000 0.2500  3 Mg 3.26
La 0.0000 0.0000 0.7500  3 Mg 3.26
La 0.3333 0.6667 0.0819  4 Mg 3.38-3.68, 7 La 3.42-3.68
La 0.3333 0.6667 0.4181  4 Mg 3.38-3.68, 7 La 3.42-3.68
La 0.6667 0.3333 0.5819  4 Mg 3.38-3.68, 7 La 3.42-3.68
La 0.6667 0.3333 0.9181  4 Mg 3.38-3.68, 7 La 3.42-3.68
Mg 0.3333 0.6667 0.7500  5 La 3.26-3.38
Mg 0.6667 0.3333 0.2500  5 La 3.26-3.38

| no. | D(E_F) (states/eV/cell) | density (g/cm3) |
| --- | --- | --- |
| 1 | 2.290 | 6.86 |
| 2 | 8.546 | 14.89 |
| 3 | 19.530 | 9.60 |
| 4 | 1.720 | 12.85 |
| 5 | 2.966 | 5.55 |
| 6 | 13.470 | 4.66 |
| 7 | 8.109 | 3.13 |
| 8 | 5.507 | 3.93 |
| 9 | 14.658 | 10.86 |
| 10 | 9.922 | 3.23 |
| 11 | 2.141 | 12.74 |
| 12 | 14.036 | 5.22 |